(1)
Material: NdErAg2
Method: DFT, PBE
State: relaxed

Computed properties:
The value obtained for the formation energy is -6.93 kcal/mol of atoms. The calculated total energy comes out at -4.059 eV per atom. Its energy above the most stable polymorph in this dataset is 0 meV/atom. For the theoretical density, the calculation gives 8.810 g/cm³.

Unit cell a=3.6313 b=3.6313 c=7.5364 alpha=90.00 beta=90.00 gamma=90.00
Last column: nearest neighbours and their distance in Å.
Fractional coordinates of all 4 atoms:
1 Nd 0.0000 0.0000 0.0000  8 Ag 3.29, 4 Nd 3.63
2 Er 0.0000 0.0000 0.5000  8 Ag 3.09
3 Ag 0.5000 0.5000 0.2729  4 Er 3.09, 4 Nd 3.29, 1 Ag 3.42
4 Ag 0.5000 0.5000 0.7271  4 Er 3.09, 4 Nd 3.29, 1 Ag 3.42

(2)
Material: CaTbSc
Method: DFT, PBE
State: relaxed

Computed properties:
The value obtained for the formation energy is 3.03 kcal/mol of atoms. The calculated total energy comes out at -4.190 eV per atom. Its energy above the most stable polymorph in this dataset is 15 meV/atom. For the theoretical density, the calculation gives 4.272 g/cm³.

Unit cell a=3.5305 b=3.5305 c=8.7845 alpha=90.00 beta=90.00 gamma=120.00
Last column: nearest neighbours and their distance in Å.
Fractional coordinates of all 3 atoms:
1 Ca 0.0000 0.0000 0.0000  6 Ca 3.53, 3 Sc 3.60, 3 Tb 3.81
2 Tb 0.3333 0.6667 0.6337  3 Sc 3.31, 6 Tb 3.53
3 Sc 0.6667 0.3333 0.3374  3 Tb 3.31, 6 Sc 3.53, 3 Ca 3.60

(3)
Material: Ho3Ga8Au3
Method: DFT, PBE
State: relaxed

Computed properties:
The value obtained for the formation energy is -12.32 kcal/mol of atoms. The calculated total energy comes out at -3.947 eV per atom. Its energy above the most stable polymorph in this dataset is 16 meV/atom. For the theoretical density, the calculation gives 10.227 g/cm³.

Unit cell a=8.2927 b=8.2927 c=8.2927 alpha=149.76 beta=108.72 gamma=79.34
Last column: nearest neighbours and their distance in Å.
Fractional coordinates of all 14 atoms:
1 Ho 0.0000 0.0000 0.0000  12 Ga 3.25, 4 Au 3.55
2 Ho 0.3080 0.3080 0.0000  10 Ga 3.10-3.45, 4 Au 3.18-3.27
3 Ho 0.6920 0.6920 0.0000  10 Ga 3.10-3.45, 4 Au 3.18-3.27
4 Ga 0.0349 0.6630 0.3719  4 Ga 2.48-2.65, 1 Au 2.61
5 Ga 0.1393 0.8589 0.2804  3 Ga 2.63-2.65, 3 Au 2.78-2.82
6 Ga 0.2911 0.6630 0.6281  4 Ga 2.48-2.65, 1 Au 2.61
7 Ga 0.4216 0.1411 0.2804  3 Ga 2.63-2.65, 3 Au 2.78-2.82
8 Ga 0.5784 0.8589 0.7196  3 Ga 2.63-2.65, 3 Au 2.78-2.82
9 Ga 0.7089 0.3370 0.3719  4 Ga 2.48-2.65, 1 Au 2.61
10 Ga 0.8607 0.1411 0.7196  3 Ga 2.63-2.65, 3 Au 2.78-2.82
11 Ga 0.9651 0.3370 0.6281  4 Ga 2.48-2.65, 1 Au 2.61
12 Au 0.2912 0.5000 0.7912  6 Ga 2.61-2.82
13 Au 0.5000 0.0000 0.5000  4 Ga 2.78, 4 Au 2.96
14 Au 0.7088 0.5000 0.2088  6 Ga 2.61-2.82

(4)
Material: AlReSb2I
Method: DFT, PBE
State: relaxed

Computed properties:
The calculated total energy comes out at -4.457 eV per atom. Its energy above the most stable polymorph in this dataset is 0 meV/atom. For the theoretical density, the calculation gives 6.183 g/cm³. The formation energy without anion corrections is 0.74 eV/atom.

Unit cell a=5.1012 b=5.1012 c=6.0228 alpha=90.00 beta=90.00 gamma=90.00
Last column: nearest neighbours and their distance in Å.
Fractional coordinates of all 5 atoms:
1 Al 0.0000 0.0000 0.0000  4 I 3.61, 8 Sb 3.95
2 Re 0.5000 0.5000 0.5000  4 Sb 2.55
3 Sb 0.0000 0.5000 0.5000  2 Re 2.55
4 Sb 0.5000 0.0000 0.5000  2 Re 2.55
5 I 0.5000 0.5000 0.0000  2 Re 3.01

(5)
Material: LaTc2Ru
Method: DFT, PBE
State: relaxed

Computed properties:
The value obtained for the formation energy is 10.17 kcal/mol of atoms. The calculated total energy comes out at -8.293 eV per atom. Its energy above the most stable polymorph in this dataset is 198 meV/atom. For the theoretical density, the calculation gives 9.861 g/cm³.

Unit cell a=3.1305 b=5.0203 c=9.3429 alpha=90.00 beta=90.00 gamma=90.00
Last column: nearest neighbours and their distance in Å.
Fractional coordinates of all 8 atoms:
1 La 0.0000 0.0000 0.0000  8 Tc 2.96-3.23, 4 Ru 3.04-3.25, 2 La 3.13
2 La 0.5000 0.5000 0.5000  8 Tc 2.96-3.23, 4 Ru 3.04-3.25, 2 La 3.13
3 Tc 0.0000 0.0000 0.4949  2 Tc 2.52, 2 Ru 2.63
4 Tc 0.0000 0.5000 0.7832  2 Tc 2.52
5 Tc 0.5000 0.0000 0.2832  2 Tc 2.52
6 Tc 0.5000 0.5000 0.9949  2 Tc 2.52, 2 Ru 2.63
7 Ru 0.0000 0.5000 0.2209  2 Tc 2.63
8 Ru 0.5000 0.0000 0.7209  2 Tc 2.63

(6)
Material: CoIrPt4
Method: DFT, PBE
State: relaxed

Computed properties:
The value obtained for the formation energy is 11.95 kcal/mol of atoms. The calculated total energy comes out at -6.170 eV per atom. Its energy above the most stable polymorph in this dataset is 381 meV/atom. For the theoretical density, the calculation gives 17.429 g/cm³.

Unit cell a=5.1799 b=5.1799 c=5.1799 alpha=60.00 beta=60.00 gamma=60.00
Last column: nearest neighbours and their distance in Å.
Fractional coordinates of all 6 atoms:
1 Co 0.0000 0.0000 0.0000  12 Pt 3.04, 4 Ir 3.17
2 Ir 0.7500 0.7500 0.7500  12 Pt 3.04, 4 Co 3.17
3 Pt 0.3750 0.3750 0.3750  6 Pt 2.59
4 Pt 0.3750 0.3750 0.8749  6 Pt 2.59
5 Pt 0.3750 0.8749 0.3750  6 Pt 2.59
6 Pt 0.8749 0.3750 0.3750  6 Pt 2.59

(7)
Material: LaPbW
Method: DFT, PBE
State: relaxed

Computed properties:
The value obtained for the formation energy is 16.84 kcal/mol of atoms. The calculated total energy comes out at -6.466 eV per atom. Its energy above the most stable polymorph in this dataset is 160 meV/atom. For the theoretical density, the calculation gives 12.094 g/cm³.

Unit cell a=3.2027 b=3.2027 c=8.1911 alpha=90.00 beta=90.00 gamma=120.00
Last column: nearest neighbours and their distance in Å.
Fractional coordinates of all 3 atoms:
1 La 0.0000 0.0000 0.0000  6 La 3.20, 3 W 3.27
2 Pb 0.6667 0.3333 0.3809  3 W 3.01, 6 Pb 3.20
3 W 0.3333 0.6667 0.6711  3 Pb 3.01, 6 W 3.20, 3 La 3.27

(8)
Material: FeAg2SbCl
Method: DFT, PBE
State: relaxed

Computed properties:
The calculated total energy comes out at -3.535 eV per atom. Its energy above the most stable polymorph in this dataset is 0 meV/atom. For the theoretical density, the calculation gives 5.046 g/cm³. The formation energy without anion corrections is 0.49 eV/atom.

Unit cell a=5.2810 b=5.2810 c=5.0599 alpha=90.00 beta=90.00 gamma=90.00
Last column: nearest neighbours and their distance in Å.
Fractional coordinates of all 5 atoms:
1 Fe 0.0000 0.0000 0.0000  2 Sb 2.53
2 Ag 0.0000 0.5000 0.5000  2 Sb 2.64
3 Ag 0.5000 0.0000 0.5000  2 Sb 2.64
4 Sb 0.0000 0.0000 0.5000  2 Fe 2.53, 4 Ag 2.64
5 Cl 0.5000 0.5000 0.0000  8 Ag 3.66, 4 Fe 3.73

(9)
Material: AgPRu3
Method: DFT, PBE
State: relaxed

Computed properties:
The value obtained for the formation energy is 58.28 kcal/mol of atoms. The calculated total energy comes out at -4.691 eV per atom. Its energy above the most stable polymorph in this dataset is 2053 meV/atom. For the theoretical density, the calculation gives 6.549 g/cm³.

Unit cell a=4.8216 b=4.8216 c=4.8216 alpha=90.00 beta=90.00 gamma=90.00
Last column: nearest neighbours and their distance in Å.
Fractional coordinates of all 5 atoms:
1 Ag 0.0000 0.0000 0.0000  6 Ru 2.41
2 P 0.5000 0.5000 0.5000  12 Ru 3.41
3 Ru 0.0000 0.0000 0.5000  2 Ag 2.41
4 Ru 0.0000 0.5000 0.0000  2 Ag 2.41
5 Ru 0.5000 0.0000 0.0000  2 Ag 2.41

(10)
Material: Mg2InPt9
Method: DFT, PBE
State: relaxed

Computed properties:
The value obtained for the formation energy is -12.04 kcal/mol of atoms. The calculated total energy comes out at -5.547 eV per atom. For the theoretical density, the calculation gives 16.715 g/cm³.

Unit cell a=3.9841 b=3.9841 c=12.0119 alpha=90.00 beta=90.00 gamma=90.00
Last column: nearest neighbours and their distance in Å.
Fractional coordinates of all 12 atoms:
1 Mg 0.0000 0.0000 0.1642  12 Pt 2.79-2.82
2 Mg 0.0000 0.0000 0.8358  12 Pt 2.79-2.82
3 In 0.0000 0.0000 0.5000  12 Pt 2.82-2.88
4 Pt 0.0000 0.5000 0.0000  8 Pt 2.80-2.82, 4 Mg 2.80
5 Pt 0.0000 0.5000 0.3270  2 Mg 2.79, 8 Pt 2.80-2.88, 2 In 2.88
6 Pt 0.0000 0.5000 0.6730  2 Mg 2.79, 8 Pt 2.80-2.88, 2 In 2.88
7 Pt 0.5000 0.0000 0.0000  8 Pt 2.80-2.82, 4 Mg 2.80
8 Pt 0.5000 0.0000 0.3270  2 Mg 2.79, 8 Pt 2.80-2.88, 2 In 2.88
9 Pt 0.5000 0.0000 0.6730  2 Mg 2.79, 8 Pt 2.80-2.88, 2 In 2.88
10 Pt 0.5000 0.5000 0.1634  8 Pt 2.80, 4 Mg 2.82
11 Pt 0.5000 0.5000 0.5000  4 In 2.82, 8 Pt 2.88
12 Pt 0.5000 0.5000 0.8366  8 Pt 2.80, 4 Mg 2.82

(11)
Material: Tc2NiAg
Method: DFT, PBE
State: relaxed

Computed properties:
The value obtained for the formation energy is 8.48 kcal/mol of atoms. The calculated total energy comes out at -6.974 eV per atom. Its energy above the most stable polymorph in this dataset is 182 meV/atom. For the theoretical density, the calculation gives 10.378 g/cm³.

Unit cell a=2.7092 b=2.7092 c=27.3778 alpha=90.00 beta=90.00 gamma=120.00
Last column: nearest neighbours and their distance in Å.
Fractional coordinates of all 12 atoms:
1 Tc 0.0000 0.0000 0.2422  3 Ni 2.59, 6 Tc 2.71
2 Tc 0.0000 0.0000 0.7578  3 Ni 2.59, 6 Tc 2.71
3 Tc 0.3333 0.6667 0.4245  3 Ni 2.59, 6 Tc 2.71
4 Tc 0.3333 0.6667 0.9088  3 Ni 2.59, 6 Tc 2.71
5 Tc 0.6667 0.3333 0.0912  3 Ni 2.59, 6 Tc 2.71
6 Tc 0.6667 0.3333 0.5755  3 Ni 2.59, 6 Tc 2.71
7 Ni 0.0000 0.0000 0.5000  6 Tc 2.59, 6 Ni 2.71
8 Ni 0.3333 0.6667 0.1667  6 Tc 2.59, 6 Ni 2.71
9 Ni 0.6667 0.3333 0.8333  6 Tc 2.59, 6 Ni 2.71
10 Ag 0.0000 0.0000 0.0000  6 Ag 2.71, 6 Tc 2.95
11 Ag 0.3333 0.6667 0.6667  6 Ag 2.71, 6 Tc 2.95
12 Ag 0.6667 0.3333 0.3333  6 Ag 2.71, 6 Tc 2.95

(12)
Material: CaTaSb4
Method: DFT, PBE
State: relaxed

Computed properties:
The calculated total energy comes out at -4.502 eV per atom. For the theoretical density, the calculation gives 7.102 g/cm³. The formation energy without anion corrections is 0.56 eV/atom.

Unit cell a=6.1634 b=6.1634 c=6.1634 alpha=60.00 beta=60.00 gamma=60.00
Last column: nearest neighbours and their distance in Å.
Fractional coordinates of all 6 atoms:
1 Ca 0.0000 0.0000 0.0000  12 Sb 3.62, 4 Ta 3.77
2 Ta 0.2500 0.2500 0.2500  12 Sb 3.61, 4 Ca 3.77
3 Sb 0.1278 0.6241 0.6241  6 Sb 3.06-3.10
4 Sb 0.6241 0.1278 0.6241  6 Sb 3.06-3.10
5 Sb 0.6241 0.6241 0.1278  6 Sb 3.06-3.10
6 Sb 0.6241 0.6241 0.6241  6 Sb 3.06-3.10